Run w
Na3TaSb | PBE | relaxed

a b c (Å): 5.7746 5.7746 5.7746
angles (deg): 90.00 90.00 90.00
Atoms (fractional coordinates):
Na  0.0000  0.0000  0.5000
Na  0.0000  0.5000  0.0000
Na  0.5000  0.0000  0.0000
Ta  0.0000  0.0000  0.0000
Sb  0.5000  0.5000  0.5000

Run x
Na3TaSb | PBE | relaxed

a b c (Å): 5.7748 5.7748 5.7748
angles (deg): 90.00 90.00 90.00
Atoms (fractional coordinates):
Na  0.0000  0.0000  0.5000
Na  0.0000  0.5000  0.0000
Na  0.5000  0.0000  0.0000
Ta  0.5000  0.5000  0.5000
Sb  0.0000  0.0000  0.0000

Least stable: run w

Run w
NaTa3Sb | PBE | relaxed

a b c (Å): 4.7057 4.7057 4.7057
angles (deg): 90.00 90.00 90.00
Atoms (fractional coordinates):
Na  0.0000  0.0000  0.0000
Ta  0.0000  0.0000  0.5000
Ta  0.0000  0.5000  0.0000
Ta  0.5000  0.0000  0.0000
Sb  0.5000  0.5000  0.5000

Run x
NaTa3Sb | PBE | relaxed

a b c (Å): 5.1162 5.1162 5.1162
angles (deg): 90.00 90.00 90.00
Atoms (fractional coordinates):
Na  0.0000  0.0000  0.0000
Ta  0.0000  0.5000  0.5000
Ta  0.5000  0.0000  0.5000
Ta  0.5000  0.5000  0.0000
Sb  0.5000  0.5000  0.5000

Least stable: run w

Run w
NaTbSb2 | PBE | relaxed

a b c (Å): 4.4223 4.4223 22.7012
angles (deg): 90.00 90.00 120.00
Atoms (fractional coordinates):
Na  0.0000  0.0000  0.0000
Na  0.3333  0.6667  0.6667
Na  0.6667  0.3333  0.3333
Tb  0.0000  0.0000  0.5000
Tb  0.3333  0.6667  0.1667
Tb  0.6667  0.3333  0.8333
Sb  0.0000  0.0000  0.2429
Sb  0.0000  0.0000  0.7571
Sb  0.3333  0.6667  0.4238
Sb  0.3333  0.6667  0.9095
Sb  0.6667  0.3333  0.0905
Sb  0.6667  0.3333  0.5762

Run x
NaTbSb2 | PBE | relaxed

a b c (Å): 4.9949 4.9949 4.2615
angles (deg): 90.00 90.00 90.00
Atoms (fractional coordinates):
Na  0.0000  0.0000  0.0000
Tb  0.5000  0.5000  0.0000
Sb  0.0000  0.5000  0.5000
Sb  0.5000  0.0000  0.5000

Least stable: run w

Run w
NaTbSb2 | PBE | relaxed

a b c (Å): 4.0482 4.0482 6.9136
angles (deg): 90.00 90.00 90.00
Atoms (fractional coordinates):
Na  0.0000  0.0000  0.0000
Tb  0.0000  0.0000  0.5000
Sb  0.5000  0.5000  0.2751
Sb  0.5000  0.5000  0.7249

Run x
NaTbSb2 | PBE | relaxed

a b c (Å): 4.7751 4.7751 18.7078
angles (deg): 90.00 90.00 120.00
Atoms (fractional coordinates):
Na  0.0000  0.0000  0.0000
Na  0.3333  0.6667  0.6667
Na  0.6667  0.3333  0.3333
Tb  0.0000  0.0000  0.8193
Tb  0.3333  0.6667  0.4859
Tb  0.6667  0.3333  0.1526
Sb  0.0000  0.0000  0.2407
Sb  0.0000  0.0000  0.4039
Sb  0.3333  0.6667  0.0705
Sb  0.3333  0.6667  0.9073
Sb  0.6667  0.3333  0.5740
Sb  0.6667  0.3333  0.7372

Least stable: run x

Run w
Na2Sb2Te | PBE | relaxed

a b c (Å): 5.0879 5.0879 12.2465
angles (deg): 90.00 90.00 90.00
Atoms (fractional coordinates):
Na  0.0000  0.5000  0.2500
Na  0.0000  0.5000  0.7500
Na  0.5000  0.0000  0.2500
Na  0.5000  0.0000  0.7500
Sb  0.0000  0.0000  0.1088
Sb  0.0000  0.0000  0.8912
Sb  0.5000  0.5000  0.3912
Sb  0.5000  0.5000  0.6088
Te  0.0000  0.0000  0.5000
Te  0.5000  0.5000  0.0000

Run x
Na2Sb2Te | PBE | relaxed

a b c (Å): 8.0664 8.0664 4.7265
angles (deg): 90.00 90.00 90.00
Atoms (fractional coordinates):
Na  0.1732  0.3268  0.0000
Na  0.3268  0.8268  0.0000
Na  0.6732  0.1732  0.0000
Na  0.8268  0.6732  0.0000
Sb  0.1272  0.6272  0.5000
Sb  0.3728  0.1272  0.5000
Sb  0.6272  0.8728  0.5000
Sb  0.8728  0.3728  0.5000
Te  0.0000  0.0000  0.5000
Te  0.5000  0.5000  0.5000

Least stable: run w

Run w
Na3SbTe3 | PBE | relaxed

a b c (Å): 7.9079 7.9079 9.2527
angles (deg): 100.30 100.30 110.03
Atoms (fractional coordinates):
Na  0.1617  0.8383  0.0000
Na  0.1824  0.8176  0.5000
Na  0.3933  0.3933  0.7764
Na  0.6067  0.6067  0.2236
Na  0.8176  0.1824  0.5000
Na  0.8383  0.1617  0.0000
Sb  0.2854  0.2854  0.3758
Sb  0.7146  0.7146  0.6242
Te  0.0424  0.0424  0.7539
Te  0.1874  0.5266  0.2223
Te  0.4734  0.8126  0.7777
Te  0.5266  0.1874  0.2223
Te  0.8126  0.4734  0.7777
Te  0.9576  0.9576  0.2461

Run x
Na3SbTe3 | PBE | relaxed

a b c (Å): 9.6786 9.6786 9.6786
angles (deg): 90.00 90.00 90.00
Atoms (fractional coordinates):
Na  0.0899  0.4101  0.5899
Na  0.1726  0.1726  0.1726
Na  0.1827  0.8173  0.3173
Na  0.3173  0.1827  0.8173
Na  0.3274  0.8274  0.6726
Na  0.4101  0.5899  0.0899
Na  0.5899  0.0899  0.4101
Na  0.6726  0.3274  0.8274
Na  0.6827  0.6827  0.6827
Na  0.8173  0.3173  0.1827
Na  0.8274  0.6726  0.3274
Na  0.9101  0.9101  0.9101
Sb  0.0387  0.5387  0.9613
Sb  0.4613  0.4613  0.4613
Sb  0.5387  0.9613  0.0387
Sb  0.9613  0.0387  0.5387
Te  0.0027  0.7596  0.6195
Te  0.1195  0.4973  0.2404
Te  0.2404  0.1195  0.4973
Te  0.2596  0.8805  0.9973
Te  0.3805  0.5027  0.7404
Te  0.4973  0.2404  0.1195
Te  0.5027  0.7404  0.3805
Te  0.6195  0.0027  0.7596
Te  0.7404  0.3805  0.5027
Te  0.7596  0.6195  0.0027
Te  0.8805  0.9973  0.2596
Te  0.9973  0.2596  0.8805

Least stable: run w

Run w
NaSbTe3 | PBE | relaxed

a b c (Å): 9.9776 9.9776 7.3884
angles (deg): 92.02 92.02 105.35
Atoms (fractional coordinates):
Na  0.0800  0.2405  0.4520
Na  0.2405  0.0800  0.9520
Na  0.7595  0.9200  0.0480
Na  0.9200  0.7595  0.5480
Sb  0.2808  0.7192  0.2500
Sb  0.4368  0.5632  0.7500
Sb  0.5632  0.4368  0.2500
Sb  0.7192  0.2808  0.7500
Te  0.0162  0.7932  0.1279
Te  0.1312  0.5767  0.5858
Te  0.2068  0.9838  0.3721
Te  0.2907  0.4221  0.0838
Te  0.4221  0.2907  0.5838
Te  0.4233  0.8688  0.9142
Te  0.5767  0.1312  0.0858
Te  0.5779  0.7093  0.4162
Te  0.7093  0.5779  0.9162
Te  0.7932  0.0162  0.6279
Te  0.8688  0.4233  0.4142
Te  0.9838  0.2068  0.8721

Run x
NaSbTe3 | PBE | relaxed

a b c (Å): 5.4484 5.4484 5.4484
angles (deg): 90.00 90.00 90.00
Atoms (fractional coordinates):
Na  0.0000  0.0000  0.0000
Sb  0.5000  0.5000  0.5000
Te  0.0000  0.0000  0.5000
Te  0.0000  0.5000  0.0000
Te  0.5000  0.0000  0.0000

Least stable: run x

Run w
NaSb2Te3 | PBE | relaxed

a b c (Å): 11.6212 11.6212 7.9690
angles (deg): 106.33 106.33 25.37
Atoms (fractional coordinates):
Na  0.1361  0.1361  0.3463
Na  0.8639  0.8639  0.6537
Sb  0.2372  0.2372  0.8702
Sb  0.4151  0.4151  0.3225
Sb  0.5849  0.5849  0.6775
Sb  0.7628  0.7628  0.1298
Te  0.1165  0.1165  0.9054
Te  0.2818  0.2818  0.3681
Te  0.4557  0.4557  0.7028
Te  0.5443  0.5443  0.2972
Te  0.7182  0.7182  0.6319
Te  0.8835  0.8835  0.0946

Run x
NaSb2Te3 | PBE | relaxed

a b c (Å): 7.6859 7.6859 7.9755
angles (deg): 98.58 98.58 120.69
Atoms (fractional coordinates):
Na  0.1664  0.8336  0.0000
Na  0.8336  0.1664  0.0000
Sb  0.0000  0.0000  0.5000
Sb  0.3289  0.6711  0.5000
Sb  0.5000  0.5000  0.0000
Sb  0.6711  0.3289  0.5000
Te  0.0833  0.4094  0.7370
Te  0.2669  0.2669  0.2578
Te  0.4094  0.0833  0.7370
Te  0.5906  0.9167  0.2630
Te  0.7331  0.7331  0.7422
Te  0.9167  0.5906  0.2630

Least stable: run w

Run w
NaZnSb2Te | PBE | relaxed

a b c (Å): 5.2268 5.2268 5.7487
angles (deg): 90.00 90.00 90.00
Atoms (fractional coordinates):
Na  0.0000  0.0000  0.0000
Zn  0.5000  0.5000  0.5000
Sb  0.0000  0.5000  0.5000
Sb  0.5000  0.0000  0.5000
Te  0.5000  0.5000  0.0000

Run x
NaZnSb2Te | PBE | relaxed

a b c (Å): 5.4524 5.4524 5.4703
angles (deg): 90.00 90.00 90.00
Atoms (fractional coordinates):
Na  0.0000  0.0000  0.0000
Zn  0.5000  0.5000  0.5000
Sb  0.0000  0.5000  0.0000
Sb  0.5000  0.0000  0.0000
Te  0.0000  0.0000  0.5000

Least stable: run x

Run w
NaZnSbTe2 | PBE | relaxed

a b c (Å): 5.5974 5.5974 5.0975
angles (deg): 90.00 90.00 90.00
Atoms (fractional coordinates):
Na  0.0000  0.0000  0.0000
Zn  0.5000  0.5000  0.5000
Sb  0.5000  0.5000  0.0000
Te  0.0000  0.5000  0.5000
Te  0.5000  0.0000  0.5000

Run x
NaZnSbTe2 | PBE | relaxed

a b c (Å): 5.5298 5.5298 5.4669
angles (deg): 90.00 90.00 90.00
Atoms (fractional coordinates):
Na  0.0000  0.0000  0.0000
Zn  0.5000  0.5000  0.5000
Sb  0.0000  0.0000  0.5000
Te  0.0000  0.5000  0.0000
Te  0.5000  0.0000  0.0000

Least stable: run x

Run w
NaTl6Sb2 | PBE | relaxed

a b c (Å): 8.2279 8.2279 11.9213
angles (deg): 122.06 122.06 24.60
Atoms (fractional coordinates):
Na  0.0000  0.0000  0.0000
Tl  0.0385  0.0385  0.7317
Tl  0.2365  0.2365  0.1133
Tl  0.3569  0.3569  0.4540
Tl  0.6431  0.6431  0.5460
Tl  0.7635  0.7635  0.8867
Tl  0.9615  0.9615  0.2683
Sb  0.3546  0.3546  0.7310
Sb  0.6454  0.6454  0.2690

Run x
NaTl6Sb2 | PBE | relaxed

a b c (Å): 6.9861 6.9861 10.5160
angles (deg): 124.42 124.42 43.33
Atoms (fractional coordinates):
Na  0.0000  0.0000  0.0000
Tl  0.0439  0.0439  0.3691
Tl  0.3273  0.3273  0.3479
Tl  0.3288  0.3288  0.0073
Tl  0.6712  0.6712  0.9927
Tl  0.6727  0.6727  0.6521
Tl  0.9561  0.9561  0.6309
Sb  0.3605  0.3605  0.7283
Sb  0.6395  0.6395  0.2717

Least stable: run w

Run w
NaTl2Sb3 | PBE | relaxed

a b c (Å): 6.5894 6.5894 9.8335
angles (deg): 91.15 91.15 118.85
Atoms (fractional coordinates):
Na  0.1238  0.8762  0.7500
Na  0.8762  0.1238  0.2500
Tl  0.2117  0.4212  0.9309
Tl  0.4212  0.2117  0.4309
Tl  0.5788  0.7883  0.5691
Tl  0.7883  0.5788  0.0691
Sb  0.0204  0.3410  0.5928
Sb  0.3410  0.0204  0.0928
Sb  0.3476  0.6524  0.2500
Sb  0.6524  0.3476  0.7500
Sb  0.6590  0.9796  0.9072
Sb  0.9796  0.6590  0.4072

Run x
NaTl2Sb3 | PBE | relaxed

a b c (Å): 8.4593 8.4593 6.1613
angles (deg): 90.00 90.00 65.46
Atoms (fractional coordinates):
Na  0.1761  0.8239  0.7500
Na  0.8239  0.1761  0.2500
Tl  0.1527  0.5259  0.2500
Tl  0.4741  0.8473  0.2500
Tl  0.5259  0.1527  0.7500
Tl  0.8473  0.4741  0.7500
Sb  0.1769  0.1769  0.0000
Sb  0.1769  0.1769  0.5000
Sb  0.5000  0.5000  0.0000
Sb  0.5000  0.5000  0.5000
Sb  0.8231  0.8231  0.0000
Sb  0.8231  0.8231  0.5000

Least stable: run x